No. 1
Here is RhPbN2 at its PBEsol-relaxed geometry from Alexandria via LeMat-Bulk. Energies are from SCAN.

Summary:
The total energy is -31.37 eV per atom. Its spin magnetization is 0.000 μB/atom. As for the space group: R-3m. As for the formation energy (no corrections): 0.664 eV per atom.

```
data_RhPbN2
_cell_length_a 3.1654
_cell_length_b 3.1654
_cell_length_c 6.6825
_cell_angle_alpha 76.30
_cell_angle_beta 76.30
_cell_angle_gamma 60.00
_space_group_name_H-M_alt 'P 1'
_space_group_IT_number 1
_space_group_name_Hall 'P 1'
loop_
_atom_site_label
_atom_site_fract_x
_atom_site_fract_y
_atom_site_fract_z
Pb1 0.0000 0.0000 0.0000
Rh1 0.5000 0.5000 0.5000
N1 0.8805 0.8805 0.3586
N2 0.1195 0.1195 0.6414
```


No. 2
Here is Mo3ClO at its PBEsol-relaxed geometry from Alexandria via LeMat-Bulk. Energies are from SCAN.

Summary:
The total energy is -23.17 eV per atom. Its spin magnetization is 0.000 μB/atom. As for the space group: Pm-3m. As for the formation energy (no corrections): 0.600 eV per atom.

```
data_Mo3ClO
_cell_length_a 4.1079
_cell_length_b 4.1079
_cell_length_c 4.1079
_cell_angle_alpha 90.00
_cell_angle_beta 90.00
_cell_angle_gamma 90.00
_space_group_name_H-M_alt 'P 1'
_space_group_IT_number 1
_space_group_name_Hall 'P 1'
loop_
_atom_site_label
_atom_site_fract_x
_atom_site_fract_y
_atom_site_fract_z
Mo1 0.0000 0.5000 0.0000
Mo2 0.0000 0.0000 0.5000
Mo3 0.5000 0.0000 0.0000
O1 0.0000 0.0000 0.0000
Cl1 0.5000 0.5000 0.5000
```


No. 3
Here is LaZrCo2 at its PBEsol-relaxed geometry from Alexandria via LeMat-Bulk. Energies are from SCAN.

Summary:
The calculation puts the formation energy at -0.51 eV per formula unit. The total energy is -27.23 eV per atom. Its spin magnetization is 0.457 μB/atom. As for the space group: P4/mmm.

```
data_LaZrCo2
_cell_length_a 3.1962
_cell_length_b 3.1962
_cell_length_c 6.8499
_cell_angle_alpha 90.00
_cell_angle_beta 90.00
_cell_angle_gamma 90.00
_space_group_name_H-M_alt 'P 1'
_space_group_IT_number 1
_space_group_name_Hall 'P 1'
loop_
_atom_site_label
_atom_site_fract_x
_atom_site_fract_y
_atom_site_fract_z
Co1 0.0000 0.0000 0.7028
Co2 0.0000 0.0000 0.2972
Zr1 0.5000 0.5000 0.5000
La1 0.5000 0.5000 0.0000
```


No. 4
Here is CsPH2O4 at its PBEsol-relaxed geometry from Alexandria via LeMat-Bulk. Energies are from SCAN.

Summary:
The total energy is -12.01 eV per atom. Its spin magnetization is 0.000 μB/atom. As for the space group: P2_1/c.

```
data_CsPH2O4
_cell_length_a 4.8721
_cell_length_b 6.2563
_cell_length_c 15.1022
_cell_angle_alpha 90.00
_cell_angle_beta 92.95
_cell_angle_gamma 90.00
_space_group_name_H-M_alt 'P 1'
_space_group_IT_number 1
_space_group_name_Hall 'P 1'
loop_
_atom_site_label
_atom_site_fract_x
_atom_site_fract_y
_atom_site_fract_z
Cs1 0.8396 0.7502 0.1164
Cs2 0.6604 0.2502 0.3836
Cs3 0.3396 0.7498 0.6164
Cs4 0.1604 0.2498 0.8836
P1 0.3358 0.2562 0.1324
P2 0.1642 0.7562 0.3676
P3 0.8358 0.2438 0.6324
P4 0.6642 0.7438 0.8676
H1 0.7595 0.2531 0.0759
H2 0.7405 0.7531 0.4241
H3 0.2380 0.5071 0.2563
H4 0.2620 0.0071 0.2437
H5 0.2595 0.2469 0.5759
H6 0.2405 0.7469 0.9241
H7 0.7620 0.4929 0.7437
H8 0.7380 0.9929 0.7563
O1 0.0538 0.2533 0.0850
O2 0.4462 0.7533 0.4150
O3 0.5496 0.2516 0.0577
O4 0.9504 0.7516 0.4423
O5 0.3913 0.4550 0.1906
O6 0.1086 0.9550 0.3094
O7 0.3934 0.0472 0.1878
O8 0.1066 0.5472 0.3122
O9 0.5538 0.2467 0.5850
O10 0.9462 0.7467 0.9150
O11 0.0496 0.2484 0.5577
O12 0.4504 0.7484 0.9423
O13 0.8934 0.4528 0.6878
O14 0.6066 0.9528 0.8122
O15 0.8914 0.0449 0.6906
O16 0.6086 0.5450 0.8094
```


No. 5
Here is Er2ZrS5 at its PBEsol-relaxed geometry from Alexandria via LeMat-Bulk. Energies are from SCAN.

Summary:
The total energy is -24.57 eV per atom. Its spin magnetization is 0.000 μB/atom. As for the space group: Pnma. As for the formation energy (no corrections): -2.126 eV per atom.

```
data_Er2ZrS5
_cell_length_a 7.1155
_cell_length_b 7.5912
_cell_length_c 11.3661
_cell_angle_alpha 90.00
_cell_angle_beta 90.00
_cell_angle_gamma 90.00
_space_group_name_H-M_alt 'P 1'
_space_group_IT_number 1
_space_group_name_Hall 'P 1'
loop_
_atom_site_label
_atom_site_fract_x
_atom_site_fract_y
_atom_site_fract_z
Er1 0.4785 0.5029 0.3208
Er2 0.0215 0.9971 0.8208
Er3 0.5215 0.0029 0.6792
Er4 0.9785 0.4971 0.1792
Er5 0.5215 0.4971 0.6792
Er6 0.9785 0.0029 0.1792
Er7 0.4785 0.9971 0.3208
Er8 0.0215 0.5029 0.8208
Zr1 0.9201 0.2500 0.4933
Zr2 0.5799 0.2500 0.9933
Zr3 0.0799 0.7500 0.5067
Zr4 0.4201 0.7500 0.0067
S1 0.1620 0.0398 0.5961
S2 0.3380 0.4602 0.0961
S3 0.8380 0.5398 0.4039
S4 0.6620 0.9602 0.9039
S5 0.8380 0.9602 0.4039
S6 0.6620 0.5398 0.9039
S7 0.1620 0.4602 0.5961
S8 0.3380 0.0398 0.0961
S9 0.1717 0.2500 0.3182
S10 0.3283 0.2500 0.8182
S11 0.8283 0.7500 0.6818
S12 0.6717 0.7500 0.1818
S13 0.5472 0.2500 0.4978
S14 0.9528 0.2500 0.9978
S15 0.4528 0.7500 0.5022
S16 0.0472 0.7500 0.0022
S17 0.8067 0.2500 0.7102
S18 0.6933 0.2500 0.2102
S19 0.1933 0.7500 0.2898
S20 0.3067 0.7500 0.7898
```


No. 6
Here is Al2InAs at its PBEsol-relaxed geometry from Alexandria via LeMat-Bulk. Energies are from SCAN.

Summary:
The calculation puts the formation energy at -0.17 eV per formula unit. The total energy is -17.31 eV per atom. Its spin magnetization is 0.000 μB/atom. As for the space group: R-3m.

```
data_Al2InAs
_cell_length_a 3.6497
_cell_length_b 3.6497
_cell_length_c 7.4450
_cell_angle_alpha 75.81
_cell_angle_beta 75.81
_cell_angle_gamma 60.00
_space_group_name_H-M_alt 'P 1'
_space_group_IT_number 1
_space_group_name_Hall 'P 1'
loop_
_atom_site_label
_atom_site_fract_x
_atom_site_fract_y
_atom_site_fract_z
As1 0.5000 0.5000 0.5000
Al1 0.7641 0.7641 0.7078
Al2 0.2359 0.2359 0.2922
In1 0.0000 0.0000 0.0000
```


What did the first record say?
Here is RhPbN2 at its PBEsol-relaxed geometry from Alexandria via LeMat-Bulk. Energies are from SCAN.

Summary:
The total energy is -31.37 eV per atom. Its spin magnetization is 0.000 μB/atom. As for the space group: R-3m. As for the formation energy (no corrections): 0.664 eV per atom.

```
data_RhPbN2
_cell_length_a 3.1654
_cell_length_b 3.1654
_cell_length_c 6.6825
_cell_angle_alpha 76.30
_cell_angle_beta 76.30
_cell_angle_gamma 60.00
_space_group_name_H-M_alt 'P 1'
_space_group_IT_number 1
_space_group_name_Hall 'P 1'
loop_
_atom_site_label
_atom_site_fract_x
_atom_site_fract_y
_atom_site_fract_z
Pb1 0.0000 0.0000 0.0000
Rh1 0.5000 0.5000 0.5000
N1 0.8805 0.8805 0.3586
N2 0.1195 0.1195 0.6414
```


spin magnetization of number 2 (Mo3ClO)? 0.000 μB/atom